# EuErMg (PBE, relaxed)
# Theoretical density ... 6.2 Mg/m³
# Magnetic moment ... 7.2 μB per cell
# DFT formation energy ... 0.085 eV per atom
# SG ... No. 156
# Volume ... 30.62 A^3/atom
data_EuErMg
_space_group_name_H-M_alt 'P 1'
_space_group_IT_number 1
_cell_length_a 5.589
_cell_length_b 5.589
_cell_length_c 3.396
_cell_angle_alpha 90.00
_cell_angle_beta 90.00
_cell_angle_gamma 120.00
loop_
_space_group_symop_operation_xyz
'x,y,z'
loop_
_atom_site_label
_atom_site_type_symbol
_atom_site_fract_x
_atom_site_fract_y
_atom_site_fract_z
Eu1 Eu 0.000 0.000 0.000
Er1 Er 0.333 0.667 0.389
Mg1 Mg 0.667 0.333 0.696

---

# NdEuErMg (PBE, relaxed)
# Theoretical density ... 6.4 Mg/m³
# Magnetic moment ... 7.1 μB per cell
# DFT formation energy ... 0.072 eV per atom
# SG ... No. 216
# Volume ... 31.62 A^3/atom
data_NdEuErMg
_space_group_name_H-M_alt 'P 1'
_space_group_IT_number 1
_cell_length_a 5.634
_cell_length_b 5.634
_cell_length_c 5.634
_cell_angle_alpha 60.00
_cell_angle_beta 60.00
_cell_angle_gamma 60.00
loop_
_space_group_symop_operation_xyz
'x,y,z'
loop_
_atom_site_label
_atom_site_type_symbol
_atom_site_fract_x
_atom_site_fract_y
_atom_site_fract_z
Nd1 Nd 0.000 0.000 0.000
Eu1 Eu 0.750 0.750 0.750
Er1 Er 0.500 0.500 0.500
Mg1 Mg 0.250 0.250 0.250

---

# PmEuErMg (PBE, relaxed)
# Theoretical density ... 6.4 Mg/m³
# Magnetic moment ... 7.1 μB per cell
# DFT formation energy ... 0.061 eV per atom
# SG ... No. 216
# Volume ... 31.77 A^3/atom
data_PmEuErMg
_space_group_name_H-M_alt 'P 1'
_space_group_IT_number 1
_cell_length_a 5.643
_cell_length_b 5.643
_cell_length_c 5.643
_cell_angle_alpha 60.00
_cell_angle_beta 60.00
_cell_angle_gamma 60.00
loop_
_space_group_symop_operation_xyz
'x,y,z'
loop_
_atom_site_label
_atom_site_type_symbol
_atom_site_fract_x
_atom_site_fract_y
_atom_site_fract_z
Pm1 Pm 0.000 0.000 0.000
Eu1 Eu 0.500 0.500 0.500
Er1 Er 0.250 0.250 0.250
Mg1 Mg 0.750 0.750 0.750